The following is a DFT calculation (PBE) of BeMo2W after structural relaxation.

```
BeMo2W
1.0
2.668 0.000 0.000
0.000 2.668 0.000
0.000 0.000 8.078
Be Mo W
1 2 1
Direct
0.000 0.000 0.000
0.000 0.000 0.500
0.500 0.500 0.213
0.500 0.500 0.787
```

Values from the calculation:
* final energy: -9.354 eV/atom
* energy relative to the elements: 0.231 eV/atom
* space group: P4mm